# Ca2ZnF6 | the Alexandria database | PBE | relaxed
# ΔE_f (raw): -3.284 eV/atom
# DOS(E_F): 0.00 states/eV/f.u.
# Raw total energy: -5.12 eV per atom
# Magnetic moment: 0.000 μB/atom
data_Ca2ZnF6
_chemical_formula_sum 'Ca4 Zn2 F12'
_cell_length_a 4.156
_cell_length_b 4.156
_cell_length_c 16.183
_cell_angle_alpha 90.00
_cell_angle_beta 90.00
_cell_angle_gamma 90.00
_space_group_name_H-M_alt 'I -4 2 m'
_space_group_IT_number 121
_space_group_name_Hall 'I -4 2'
loop_
_atom_site_label
_atom_site_fract_x
_atom_site_fract_y
_atom_site_fract_z
Ca1 0.000 0.000 0.176
Zn1 0.000 0.000 0.500
F1 0.000 0.500 0.250
F2 0.237 0.237 0.582



# NdNi2Ru | the Alexandria database | PBE | relaxed
# DOS(E_F): 4.74 states/eV/f.u.
# Raw total energy: -6.55 eV per atom
# E_form: -0.15 eV/atom
# Magnetic moment: 0.160 μB/atom
data_NdNi2Ru
_chemical_formula_sum 'Nd3 Ni6 Ru3'
_cell_length_a 4.1813
_cell_length_b 4.1813
_cell_length_c 14.3765
_cell_angle_alpha 90.00
_cell_angle_beta 90.00
_cell_angle_gamma 120.00
_space_group_name_H-M_alt 'R -3 m'
_space_group_IT_number 166
_space_group_name_Hall '-R 3 2"'
loop_
_atom_site_label
_atom_site_fract_x
_atom_site_fract_y
_atom_site_fract_z
Nd1 0.0000 0.0000 0.0000
Ni1 0.0000 0.0000 0.1948
Ru1 0.0000 0.0000 0.5000



# CaY2H2 | the Alexandria database | PBE | relaxed
# Energy above the most stable polymorph in this dataset: 0.000 eV per formula unit
# DOS(E_F): 0.63 states/eV/f.u.
# Raw total energy: -4.37 eV per atom
# Magnetic moment: 0.000 μB/atom
data_CaY2H2
_chemical_formula_sum 'Ca2 Y4 H4'
_cell_length_a 7.179
_cell_length_b 7.179
_cell_length_c 4.363
_cell_angle_alpha 90.00
_cell_angle_beta 90.00
_cell_angle_gamma 90.00
_space_group_name_H-M_alt 'P 4/m b m'
_space_group_IT_number 127
_space_group_name_Hall '-P 4 2ab'
loop_
_atom_site_label
_atom_site_fract_x
_atom_site_fract_y
_atom_site_fract_z
Ca1 0.000 0.000 0.000
Y1 0.168 0.332 0.500
H1 0.197 0.303 0.000



# NaAcNd | the Alexandria database | PBE | relaxed
# Energy above the most stable polymorph in this dataset: 0.164 eV per formula unit
# DOS(E_F): 3.60 states/eV/f.u.
# Raw total energy: -3.28 eV per atom
# E_form: 0.12 eV/atom
# Magnetic moment: 0.000 μB/atom
data_NaAcNd
_chemical_formula_sum 'Na1 Ac1 Nd1'
_cell_length_a 3.8167
_cell_length_b 3.8167
_cell_length_c 9.5043
_cell_angle_alpha 90.00
_cell_angle_beta 90.00
_cell_angle_gamma 120.00
_space_group_name_H-M_alt 'P 3 m 1'
_space_group_IT_number 156
loop_
_space_group_symop_operation_xyz
'x,y,z'
'-y,x-y,z'
'-x+y,-x,z'
'-y,-x,z'
'-x+y,y,z'
'x,x-y,z'
loop_
_atom_site_label
_atom_site_fract_x
_atom_site_fract_y
_atom_site_fract_z
Na1 0.0000 0.0000 0.0000
Ac1 0.6667 0.3333 0.3515
Nd1 0.3333 0.6667 0.6665



# Ce2MgU | the Alexandria database | PBE | relaxed
# Energy above the most stable polymorph in this dataset: 0.270 eV per formula unit
# DOS(E_F): 10.24 states/eV/f.u.
# Raw total energy: -6.01 eV per atom
# E_form: 0.18 eV/atom
# Magnetic moment: 0.265 μB/atom
data_Ce2MgU
_chemical_formula_sum 'Ce2 Mg1 U1'
_cell_length_a 5.500
_cell_length_b 5.500
_cell_length_c 3.158
_cell_angle_alpha 90.00
_cell_angle_beta 90.00
_cell_angle_gamma 90.00
_space_group_name_H-M_alt 'P 4/m m m'
_space_group_IT_number 123
_space_group_name_Hall '-P 4 2'
loop_
_atom_site_label
_atom_site_fract_x
_atom_site_fract_y
_atom_site_fract_z
Ce1 0.000 0.500 0.000
Mg1 0.000 0.000 0.500
U1 0.500 0.500 0.500



# LiGeOs3 | the Alexandria database | PBE | relaxed
# Energy above the most stable polymorph in this dataset: 0.000 eV per formula unit
# DOS(E_F): 4.38 states/eV/f.u.
# Raw total energy: -6.58 eV per atom
# E_form: 1.47 eV/atom
# Magnetic moment: 0.407 μB/atom
data_LiGeOs3
_chemical_formula_sum 'Li1 Ge1 Os3'
_cell_length_a 4.142
_cell_length_b 4.142
_cell_length_c 4.142
_cell_angle_alpha 90.00
_cell_angle_beta 90.00
_cell_angle_gamma 90.00
_space_group_name_H-M_alt 'P m -3 m'
_space_group_IT_number 221
_space_group_name_Hall '-P 4 2 3'
loop_
_atom_site_label
_atom_site_fract_x
_atom_site_fract_y
_atom_site_fract_z
Li1 0.000 0.000 0.000
Ge1 0.500 0.500 0.500
Os1 0.000 0.000 0.500



# LiNp2TeS3 | the Alexandria database | PBE | relaxed
# ΔE_f (raw): -1.167 eV/atom
# DOS(E_F): 16.69 states/eV/f.u.
# Raw total energy: -7.36 eV per atom
# Magnetic moment: 1.000 μB/atom
data_LiNp2TeS3
_chemical_formula_sum 'Li6 Np12 Te6 S18'
_cell_length_a 8.1391
_cell_length_b 8.1391
_cell_length_c 19.9266
_cell_angle_alpha 90.00
_cell_angle_beta 90.00
_cell_angle_gamma 120.00
_space_group_name_H-M_alt 'R -3 m'
_space_group_IT_number 166
_space_group_name_Hall '-R 3 2"'
loop_
_atom_site_label
_atom_site_fract_x
_atom_site_fract_y
_atom_site_fract_z
Li1 0.0000 0.0000 0.0955
Np1 0.0000 0.0000 0.5000
Np2 0.0000 0.5000 0.0000
Te1 0.0000 0.0000 0.2357
S1 0.0332 0.5166 0.2564



# BeTlRh | the Alexandria database | PBE | relaxed
# Energy above the most stable polymorph in this dataset: 0.000 eV per formula unit
# DOS(E_F): 1.58 states/eV/f.u.
# Raw total energy: -4.52 eV per atom
# E_form: -0.04 eV/atom
# Magnetic moment: 0.000 μB/atom
data_BeTlRh
_chemical_formula_sum 'Be2 Tl2 Rh2'
_cell_length_a 3.030
_cell_length_b 3.215
_cell_length_c 9.763
_cell_angle_alpha 90.00
_cell_angle_beta 90.00
_cell_angle_gamma 90.00
_space_group_name_H-M_alt 'I m m 2'
_space_group_IT_number 44
loop_
_space_group_symop_operation_xyz
'x,y,z'
'-x,-y,z'
'-x,y,z'
'x,-y,z'
'x+1/2,y+1/2,z+1/2'
'-x+1/2,-y+1/2,z+1/2'
'-x+1/2,y+1/2,z+1/2'
'x+1/2,-y+1/2,z+1/2'
loop_
_atom_site_label
_atom_site_fract_x
_atom_site_fract_y
_atom_site_fract_z
Be1 0.000 0.000 0.000
Tl1 0.000 0.000 0.718
Rh1 0.000 0.000 0.429



# Ba2Zn4Co | the Alexandria database | PBE | relaxed
# DOS(E_F): 5.02 states/eV/f.u.
# Raw total energy: -2.37 eV per atom
# E_form: -0.08 eV/atom
# Magnetic moment: 0.000 μB/atom
data_Ba2Zn4Co
_chemical_formula_sum 'Ba4 Zn8 Co2'
_cell_length_a 4.810
_cell_length_b 4.810
_cell_length_c 16.787
_cell_angle_alpha 90.00
_cell_angle_beta 90.00
_cell_angle_gamma 90.00
_space_group_name_H-M_alt 'I 4/m m m'
_space_group_IT_number 139
_space_group_name_Hall '-I 4 2'
loop_
_atom_site_label
_atom_site_fract_x
_atom_site_fract_y
_atom_site_fract_z
Ba1 0.000 0.000 0.147
Zn1 0.000 0.000 0.364
Zn2 0.000 0.500 0.000
Co1 0.000 0.000 0.500



# TaBe2 | the Alexandria database | PBE | relaxed
# DOS(E_F): 1.91 states/eV/f.u.
# Raw total energy: -5.96 eV per atom
# E_form: 0.48 eV/atom
# Magnetic moment: 0.000 μB/atom
data_TaBe2
_chemical_formula_sum 'Ta1 Be2'
_cell_length_a 2.7177
_cell_length_b 2.7177
_cell_length_c 6.1848
_cell_angle_alpha 90.00
_cell_angle_beta 90.00
_cell_angle_gamma 120.00
_space_group_name_H-M_alt 'P -3 m 1'
_space_group_IT_number 164
_space_group_name_Hall '-P 3 2"'
loop_
_atom_site_label
_atom_site_fract_x
_atom_site_fract_y
_atom_site_fract_z
Ta1 0.0000 0.0000 0.0000
Be1 0.3333 0.6667 0.3566



# SrDy2Ni | the Alexandria database | PBE | relaxed
# Energy above the most stable polymorph in this dataset: 0.000 eV per formula unit
# DOS(E_F): 4.98 states/eV/f.u.
# Raw total energy: -4.25 eV per atom
# E_form: -0.08 eV/atom
# Magnetic moment: 0.000 μB/atom
data_SrDy2Ni
_chemical_formula_sum 'Sr1 Dy2 Ni1'
_cell_length_a 3.492
_cell_length_b 3.492
_cell_length_c 9.645
_cell_angle_alpha 90.00
_cell_angle_beta 90.00
_cell_angle_gamma 90.00
_space_group_name_H-M_alt 'P 4/m m m'
_space_group_IT_number 123
_space_group_name_Hall '-P 4 2'
loop_
_atom_site_label
_atom_site_fract_x
_atom_site_fract_y
_atom_site_fract_z
Sr1 0.000 0.000 0.000
Dy1 0.500 0.500 0.336
Ni1 0.000 0.000 0.500



# Cd4SnHg | the Alexandria database | PBE | relaxed
# Energy above the most stable polymorph in this dataset: 0.006 eV per formula unit
# DOS(E_F): 1.39 states/eV/f.u.
# Raw total energy: -1.29 eV per atom
# E_form: 0.04 eV/atom
# Magnetic moment: 0.000 μB/atom
data_Cd4SnHg
_chemical_formula_sum 'Cd8 Sn2 Hg2'
_cell_length_a 10.121
_cell_length_b 4.285
_cell_length_c 7.248
_cell_angle_alpha 90.00
_cell_angle_beta 112.99
_cell_angle_gamma 90.00
_space_group_name_H-M_alt 'C 1 2/m 1'
_space_group_IT_number 12
loop_
_space_group_symop_operation_xyz
'x,y,z'
'-x,-y,-z'
'-x,y,-z'
'x,-y,z'
'x+1/2,y+1/2,z'
'-x+1/2,-y+1/2,-z'
'-x+1/2,y+1/2,-z'
'x+1/2,-y+1/2,z'
loop_
_atom_site_label
_atom_site_fract_x
_atom_site_fract_y
_atom_site_fract_z
Cd1 0.163 0.000 0.328
Cd2 0.170 0.000 0.839
Sn1 0.000 0.500 0.500
Hg1 0.000 0.500 0.000



Let's list volume in order: 279.6 217.7 224.8 119.9 95.5 71.0 1143.2 95.1 388.4 39.6 117.6 289.4 Å³/cell.